A relaxed structure of PaGaPt, computed with GGA-PBE.

Geometry as CIF:
```
data_PaGaPt
_cell_length_a 6.5037
_cell_length_b 6.5037
_cell_length_c 6.5037
_cell_angle_alpha 90.00
_cell_angle_beta 90.00
_cell_angle_gamma 90.00
_symmetry_space_group_name_H-M 'F -4 3 m'
_symmetry_Int_Tables_number 216
_symmetry_space_group_name_Hall 'F -4 2 3'
loop_
_atom_site_label
_atom_site_type_symbol
_atom_site_fract_x
_atom_site_fract_y
_atom_site_fract_z
Pa1 Pa 0.0000 0.0000 0.0000
Ga1 Ga 0.0000 0.0000 0.5000
Pt1 Pt 0.2500 0.2500 0.7500
```

Density, g/cm3: 11.97
Magnetic moment, μB/cell: 0.000
E_form, eV/atom: -0.73

---

A relaxed structure of ErGa2Se4, computed with GGA-PBE.

Geometry as CIF:
```
data_ErGa2Se4
_cell_length_a 7.6021
_cell_length_b 7.6021
_cell_length_c 6.5667
_cell_angle_alpha 90.00
_cell_angle_beta 90.00
_cell_angle_gamma 90.00
_symmetry_space_group_name_H-M 'I 4/m'
_symmetry_Int_Tables_number 87
_symmetry_space_group_name_Hall '-I 4'
loop_
_atom_site_label
_atom_site_type_symbol
_atom_site_fract_x
_atom_site_fract_y
_atom_site_fract_z
Er1 Er 0.0000 0.0000 0.0000
Ga1 Ga 0.0000 0.5000 0.2500
Se1 Se 0.1757 0.6808 0.5000
```

Density, g/cm3: 5.45
ΔE_f (raw), eV per formula unit: -5.12
Magnetic moment, μB/cell: 0.002

---

A relaxed structure of Na4Y3ErTe8, computed with GGA-PBE.

Geometry as CIF:
```
data_Na4Y3ErTe8
_cell_length_a 8.8444
_cell_length_b 8.8444
_cell_length_c 22.7024
_cell_angle_alpha 90.00
_cell_angle_beta 90.00
_cell_angle_gamma 120.00
_symmetry_space_group_name_H-M 'R -3 m'
_symmetry_Int_Tables_number 166
_symmetry_space_group_name_Hall '-R 3 2"'
loop_
_atom_site_label
_atom_site_type_symbol
_atom_site_fract_x
_atom_site_fract_y
_atom_site_fract_z
Na1 Na 0.0000 0.0000 0.0000
Na2 Na 0.0000 0.5000 0.0000
Y1 Y 0.0000 0.5000 0.5000
Er1 Er 0.0000 0.0000 0.5000
Te1 Te 0.0000 0.0000 0.2442
Te2 Te 0.0020 0.5010 0.2438
```

Density, g/cm3: 5.01
ΔE_f (raw), eV per formula unit: -21.19
Magnetic moment, μB/cell: 0.000

---

A relaxed structure of K3CeCr2Se6, computed with GGA-PBE.

Geometry as CIF:
```
data_K3CeCr2Se6
_cell_length_a 6.9243
_cell_length_b 11.9948
_cell_length_c 7.9804
_cell_angle_alpha 90.00
_cell_angle_beta 107.00
_cell_angle_gamma 90.00
_symmetry_space_group_name_H-M 'C 1 2/m 1'
_symmetry_Int_Tables_number 12
loop_
_symmetry_equiv_pos_as_xyz
'x,y,z'
'-x,-y,-z'
'-x,y,-z'
'x,-y,z'
'x+1/2,y+1/2,z'
'-x+1/2,-y+1/2,-z'
'-x+1/2,y+1/2,-z'
'x+1/2,-y+1/2,z'
loop_
_atom_site_label
_atom_site_type_symbol
_atom_site_fract_x
_atom_site_fract_y
_atom_site_fract_z
K1 K 0.0000 0.0000 0.0000
K2 K 0.0000 0.3395 0.0000
Ce1 Ce 0.0000 0.5000 0.5000
Cr1 Cr 0.0000 0.1671 0.5000
Se1 Se 0.1999 0.0000 0.6889
Se2 Se 0.2457 0.3182 0.6904
```

Density, g/cm3: 4.38
ΔE_f (raw), eV per formula unit: -12.96
Magnetic moment, μB/cell: 14.007

---

A relaxed structure of VSiAsBr2, computed with GGA-PBE.

Geometry as CIF:
```
data_VSiAsBr2
_cell_length_a 4.9449
_cell_length_b 4.9449
_cell_length_c 5.0888
_cell_angle_alpha 90.00
_cell_angle_beta 90.00
_cell_angle_gamma 90.00
_symmetry_space_group_name_H-M 'P 4/m m m'
_symmetry_Int_Tables_number 123
_symmetry_space_group_name_Hall '-P 4 2'
loop_
_atom_site_label
_atom_site_type_symbol
_atom_site_fract_x
_atom_site_fract_y
_atom_site_fract_z
V1 V 0.0000 0.0000 0.0000
Si1 Si 0.5000 0.5000 0.5000
As1 As 0.0000 0.0000 0.5000
Br1 Br 0.0000 0.5000 0.0000
```

Density, g/cm3: 4.19
ΔE_f (raw), eV per formula unit: 2.03
Magnetic moment, μB/cell: 2.065
Distance to the lowest polymorph of the same formula, eV per formula unit: 0.00

---

A relaxed structure of Li2PuGaO4, computed with GGA-PBE.

Geometry as CIF:
```
data_Li2PuGaO4
_cell_length_a 4.4317
_cell_length_b 4.4317
_cell_length_c 9.4691
_cell_angle_alpha 90.00
_cell_angle_beta 90.00
_cell_angle_gamma 90.00
_symmetry_space_group_name_H-M 'I -4 m 2'
_symmetry_Int_Tables_number 119
_symmetry_space_group_name_Hall 'I -4 -2'
loop_
_atom_site_label
_atom_site_type_symbol
_atom_site_fract_x
_atom_site_fract_y
_atom_site_fract_z
Li1 Li 0.0000 0.0000 0.0000
Li2 Li 0.0000 0.5000 0.2500
Pu1 Pu 0.0000 0.5000 0.7500
Ga1 Ga 0.0000 0.0000 0.5000
O1 O 0.0000 0.0000 0.2643
O2 O 0.0000 0.5000 0.5054
```

Density, g/cm3: 6.99
ΔE_f (raw), eV per formula unit: -16.68
Magnetic moment, μB/cell: 8.793

---

A relaxed structure of TbCu2Pd5, computed with GGA-PBE.

Geometry as CIF:
```
data_TbCu2Pd5
_cell_length_a 3.7948
_cell_length_b 7.4525
_cell_length_c 9.5430
_cell_angle_alpha 90.00
_cell_angle_beta 90.00
_cell_angle_gamma 90.00
_symmetry_space_group_name_H-M 'I m m m'
_symmetry_Int_Tables_number 71
_symmetry_space_group_name_Hall '-I 2 2'
loop_
_atom_site_label
_atom_site_type_symbol
_atom_site_fract_x
_atom_site_fract_y
_atom_site_fract_z
Tb1 Tb 0.0000 0.0000 0.0000
Cu1 Cu 0.0000 0.5000 0.2638
Pd1 Pd 0.0000 0.1911 0.3530
Pd2 Pd 0.0000 0.5000 0.0000
```

Density, g/cm3: 10.07
Magnetic moment, μB/cell: 0.000
E_form, eV/atom: -0.27

---

A relaxed structure of CaLaPd2, computed with GGA-PBE.

Geometry as CIF:
```
data_CaLaPd2
_cell_length_a 4.1179
_cell_length_b 4.1179
_cell_length_c 21.6901
_cell_angle_alpha 90.00
_cell_angle_beta 90.00
_cell_angle_gamma 120.00
_symmetry_space_group_name_H-M 'R 3 m'
_symmetry_Int_Tables_number 160
_symmetry_space_group_name_Hall 'R 3 -2"'
loop_
_atom_site_label
_atom_site_type_symbol
_atom_site_fract_x
_atom_site_fract_y
_atom_site_fract_z
Ca1 Ca 0.0000 0.0000 0.0000
La1 La 0.0000 0.0000 0.8282
Pd1 Pd 0.0000 0.0000 0.2469
Pd2 Pd 0.0000 0.0000 0.4130
```

Density, g/cm3: 6.13
Magnetic moment, μB/cell: 0.000
E_form, eV/atom: -0.62